No. 1
Ca3SnH | Alexandria via LeMat-Bulk | PBEsol | optimized geometry; total DFT energy (no corrections) = -0.2446 Ry/atom
1.0
4.879 0.000 0.000
0.000 4.879 0.000
0.000 0.000 4.879
Ca Sn H
3 1 1
direct
0.000 0.000 0.500 Ca
0.000 0.500 0.000 Ca
0.500 0.000 0.000 Ca
0.500 0.500 0.500 Sn
0.000 0.000 0.000 H



No. 2
SrMoSe2 | Alexandria via LeMat-Bulk | PBEsol | optimized geometry; E_form (uncorrected) = -0.04 eV per formula unit
1.0
2.297 1.326 7.920
-2.297 1.326 7.920
0.000 -2.652 7.920
Sr Mo Se
1 1 2
direct
0.000 0.000 0.000 Sr
0.500 0.500 0.500 Mo
0.398 0.398 0.398 Se
0.602 0.602 0.602 Se



No. 3
RbGe2AuS | Alexandria via LeMat-Bulk | PBEsol | optimized geometry; E_form (uncorrected) = 9.46 eV per formula unit
1.0
5.627 0.000 0.000
0.000 5.627 0.000
0.000 0.000 5.300
Rb Ge Au S
1 2 1 1
direct
0.000 0.000 0.000 Rb
0.000 0.500 0.000 Ge
0.500 0.000 0.000 Ge
0.000 0.000 0.500 Au
0.500 0.500 0.500 S



No. 4
MnRe2Ni | Alexandria via LeMat-Bulk | PBEsol | optimized geometry; energy of formation = 17 kJ/mol of formula units; polymorph energy (0 for the lowest one) = 0 meV per atom
1.0
2.635 0.000 0.000
0.000 3.641 0.000
0.000 0.000 5.224
Mn Re Ni
1 2 1
direct
0.000 0.000 0.000 Mn
0.500 0.500 0.244 Re
0.500 0.500 0.756 Re
0.000 0.000 0.500 Ni



No. 5
IrPdW3 | Alexandria via LeMat-Bulk | PBEsol | optimized geometry; energy of formation = 987 kJ/mol of formula units; polymorph energy (0 for the lowest one) = 0 meV per atom
1.0
4.670 0.000 0.000
0.000 4.670 0.000
0.000 0.000 4.670
Ir Pd W
1 1 3
direct
0.000 0.000 0.000 Ir
0.500 0.500 0.500 Pd
0.000 0.000 0.500 W
0.000 0.500 0.000 W
0.500 0.000 0.000 W



No. 6
InPSe2 | Alexandria via LeMat-Bulk | PBEsol | optimized geometry; polymorph energy (0 for the lowest one) = 224 meV per atom; E_form (uncorrected) = 0.74 eV per formula unit
1.0
-1.851 1.851 6.799
1.851 -1.851 6.799
1.851 1.851 -6.799
In P Se
1 1 2
direct
0.000 0.000 0.000 In
0.750 0.250 0.500 P
0.250 0.750 0.500 Se
0.500 0.500 0.000 Se



No. 7
Sc2TlZn | Alexandria via LeMat-Bulk | PBEsol | optimized geometry; energy of formation = -57 kJ/mol of formula units
1.0
3.299 0.000 0.000
0.000 4.301 0.000
0.000 0.000 5.948
Sc Tl Zn
2 1 1
direct
0.000 0.000 0.000 Sc
0.500 0.500 0.290 Sc
0.000 0.000 0.513 Tl
0.500 0.500 0.809 Zn



No. 8
Sc2ZnAu | Alexandria via LeMat-Bulk | PBEsol | optimized geometry; energy of formation = -143 kJ/mol of formula units
1.0
0.000 3.266 3.266
3.266 0.000 3.266
3.266 3.266 0.000
Sc Zn Au
2 1 1
direct
0.000 0.000 0.000 Sc
0.250 0.250 0.250 Sc
0.750 0.750 0.750 Zn
0.500 0.500 0.500 Au